Here is TiNbCd after structural relaxation from the Alexandria database. Energies are from PBE-GGA.

## Properties
E_form in meV per atom: -36
Electronic total energy in eV/atom: -6.33

a = 3.319 Å, b = 3.319 Å, c = 10.342 Å
α = 90.00°, β = 90.00°, γ = 90.00°
Element x y z (fractional)
Nb1 0.500 0.000 0.077
Nb2 0.000 0.500 0.923
Ti1 0.500 0.000 0.775
Ti2 0.000 0.500 0.225
Cd1 0.500 0.000 0.406
Cd2 0.000 0.500 0.594



Here is Rb2ThBr8 after structural relaxation from the Alexandria database. Energies are from PBE-GGA.

## Properties
Formation energy without anion corrections in eV/atom: -1.440
Electronic total energy in eV/atom: -3.51

a = 8.398 Å, b = 9.723 Å, c = 9.723 Å
α = 77.48°, β = 55.69°, γ = 55.69°
Element x y z (fractional)
Br1 0.721 0.184 0.866
Br2 0.710 0.271 0.271
Br3 0.204 0.437 0.437
Br4 0.279 0.816 0.134
Br5 0.721 0.866 0.184
Br6 0.279 0.134 0.816
Br7 0.290 0.729 0.729
Br8 0.796 0.563 0.563
Rb1 0.200 0.211 0.211
Rb2 0.800 0.789 0.789
Th1 0.000 0.000 0.000